DFT (SCAN) results for a PBEsol-optimized structure of LaPtPb2.

Lattice parameters (Å, degrees): 5.1557 5.1557 5.1557 60.00 60.00 60.00
Atoms (fractional coordinates):
Pb (0.7500, 0.7500, 0.7500)
Pb (0.2500, 0.2500, 0.2500)
La (0.0000, 0.0000, 0.0000)
Pt (0.5000, 0.5000, 0.5000)

Output
ΔE to the lowest computed polymorph: 290 meV per atom
total energy: -266.30 eV per cell
E_form: -34.8 kJ/mol of atoms
magnetic moment: 0.00 μB per cell
DOS(E_F): 2.5 states/eV/f.u.